Entry from the Open Quantum Materials Database: a geometry-optimized HfHgBi2 structure (PBE-GGA). Values from VASP.

Properties
space-group type: F-43m
uncorrected energy: -4.2789 eV/atom
M_tot: 0.01 μB/atom
density: 12.6 g/cm3

Cell and atoms, written as Quantum ESPRESSO input:
```
&SYSTEM
  ibrav = 0, nat = 4, ntyp = 3
/
ATOMIC_SPECIES
Bi 208.98 Bi.upf
Hf 178.49 Hf.upf
Hg 200.59 Hg.upf
CELL_PARAMETERS angstrom
0.9387 0.7546 5.1619
-0.3290 4.8687 2.0695
-3.9892 1.2268 3.2676
ATOMIC_POSITIONS angstrom
Bi 0.0000 0.0000 0.0000
Bi -0.8449 1.7125 2.6248
Hf -1.6897 3.4251 5.2495
Hg -2.5346 5.1376 7.8743
```